Computed, not measured: an optimized crystal structure of TmTc2Ge2 at the PBE level of DFT.

Properties
- V: 183 Å³/cell
- Energy: -7.325 eV/atom
- Excess energy over the best structure of this formula in the dataset: 0.0 meV/atom

abc: 10.946 10.946 4.195
angles: 98.58 98.58 21.60
Sites, in units of the cell vectors:
Ge (0.390, 0.390, 0.161)
Tc (0.036, 0.036, 0.777)
Tm (0.852, 0.852, 0.638)
Tm (0.148, 0.148, 0.362)
Ge (0.272, 0.272, 0.166)
Ge (0.728, 0.728, 0.834)
Tc (0.964, 0.964, 0.223)
Tc (0.462, 0.462, 0.719)
Ge (0.610, 0.610, 0.839)
Tc (0.538, 0.538, 0.281)



Computed, not measured: an optimized crystal structure of UTcGe at the PBE level of DFT.

Properties
- V: 66 Å³/cell
- Energy: -8.018 eV/atom
- Excess energy over the best structure of this formula in the dataset: 337.3 meV/atom

abc: 4.526 4.526 4.526
angles: 60.00 60.00 60.00
Sites, in units of the cell vectors:
U (0.250, 0.250, 0.250)
Ge (0.000, 0.000, 0.000)
Tc (0.500, 0.500, 0.500)



Computed, not measured: an optimized crystal structure of UTcGe at the PBE level of DFT.

Properties
- V: 61 Å³/cell
- Energy: -8.356 eV/atom
- Excess energy over the best structure of this formula in the dataset: 0.0 meV/atom

abc: 4.427 4.427 4.427
angles: 60.00 60.00 60.00
Sites, in units of the cell vectors:
U (0.750, 0.750, 0.750)
Ge (0.000, 0.000, 0.000)
Tc (0.250, 0.250, 0.250)



Computed, not measured: an optimized crystal structure of TcGeW2 at the PBE level of DFT.

Properties
- V: 61 Å³/cell
- Energy: -10.027 eV/atom

abc: 4.428 4.428 4.428
angles: 60.00 60.00 60.00
Sites, in units of the cell vectors:
W (0.000, 0.000, 0.000)
Tc (0.250, 0.250, 0.250)
Ge (0.500, 0.500, 0.500)
W (0.750, 0.750, 0.750)



Computed, not measured: an optimized crystal structure of Tc2GeW at the PBE level of DFT.

Properties
- V: 60 Å³/cell
- Energy: -9.311 eV/atom

abc: 4.396 4.396 4.396
angles: 60.00 60.00 60.00
Sites, in units of the cell vectors:
Tc (0.750, 0.750, 0.750)
Ge (0.500, 0.500, 0.500)
W (0.250, 0.250, 0.250)
Tc (0.000, 0.000, 0.000)



Computed, not measured: an optimized crystal structure of TcGeW at the PBE level of DFT.

Properties
- V: 53 Å³/cell
- Energy: -9.061 eV/atom
- Excess energy over the best structure of this formula in the dataset: 0.0 meV/atom

abc: 4.215 4.215 4.215
angles: 60.00 60.00 60.00
Sites, in units of the cell vectors:
Ge (0.250, 0.250, 0.250)
Tc (0.000, 0.000, 0.000)
W (0.750, 0.750, 0.750)



Computed, not measured: an optimized crystal structure of TcGe2W at the PBE level of DFT.

Properties
- V: 62 Å³/cell
- Energy: -7.845 eV/atom

abc: 4.454 4.454 4.454
angles: 60.00 60.00 60.00
Sites, in units of the cell vectors:
Ge (0.750, 0.750, 0.750)
Tc (0.250, 0.250, 0.250)
W (0.500, 0.500, 0.500)
Ge (0.000, 0.000, 0.000)



Computed, not measured: an optimized crystal structure of YTc2Ge at the PBE level of DFT.

Properties
- V: 69 Å³/cell
- Energy: -7.836 eV/atom

abc: 4.610 4.610 4.610
angles: 60.00 60.00 60.00
Sites, in units of the cell vectors:
Y (0.250, 0.250, 0.250)
Ge (0.500, 0.500, 0.500)
Tc (0.000, 0.000, 0.000)
Tc (0.750, 0.750, 0.750)



energy of number 5 (Tc2GeW)? -9.311 eV/atom



V of number 2 (UTcGe)? 66 Å³/cell



What did the third record say?
Computed, not measured: an optimized crystal structure of UTcGe at the PBE level of DFT.

Properties
- V: 61 Å³/cell
- Energy: -8.356 eV/atom
- Excess energy over the best structure of this formula in the dataset: 0.0 meV/atom

abc: 4.427 4.427 4.427
angles: 60.00 60.00 60.00
Sites, in units of the cell vectors:
U (0.750, 0.750, 0.750)
Ge (0.000, 0.000, 0.000)
Tc (0.250, 0.250, 0.250)



Which of these has the highest energy? TmTc2Ge2